Entry from the Alexandria database: crystalline Sc2ZnTcBi at its relaxed geometry (PBE).

The structure belongs to space group P4/mmm (No. 123); the cell edges are 5.4183, 5.4183 and 4.9845 Å and the angles 90.00°, 90.00° and 90.00°. The asymmetric unit holds Sc at (0.0000, 0.5000, 0.0000), Zn at (0.0000, 0.0000, 0.5000), Tc at (0.5000, 0.5000, 0.5000) and Bi at (0.0000, 0.0000, 0.0000).

As for the density of states at the Fermi level: 5.76 states/eV/f.u. The calculation puts the energy of formation from the pure elements at 1.1820 eV/atom.